No. 1
# CeNiRu2 | Alexandria via LeMat-Bulk | PBE-GGA | optimized geometry
data_CeNiRu2
_cell_length_a 4.4513
_cell_length_b 4.4513
_cell_length_c 13.4590
_cell_angle_alpha 90.00
_cell_angle_beta 90.00
_cell_angle_gamma 120.00
_space_group_name_H-M_alt 'R -3 m'
_space_group_IT_number 166
_space_group_name_Hall '-R 3 2"'
loop_
_atom_site_label
_atom_site_type_symbol
_atom_site_fract_x
_atom_site_fract_y
_atom_site_fract_z
Ce1 Ce 0.0000 0.0000 0.0000
Ni1 Ni 0.0000 0.0000 0.5000
Ru1 Ru 0.0000 0.0000 0.1825
# Distance to the lowest polymorph of the same formula, meV/atom: 44
# DOS(E_F), states/eV per cell: 17.4
# Total DFT energy (no corrections), eV per atom: -7.663
# V, Å³/cell: 231.0
# Formation energy from the elements, eV/atom: -0.0960

No. 2
# NpPaSi2O8 | Alexandria via LeMat-Bulk | PBE-GGA | optimized geometry
data_NpPaSi2O8
_cell_length_a 7.0512
_cell_length_b 7.0512
_cell_length_c 6.2814
_cell_angle_alpha 90.00
_cell_angle_beta 90.00
_cell_angle_gamma 90.00
_space_group_name_H-M_alt 'I -4 m 2'
_space_group_IT_number 119
_space_group_name_Hall 'I -4 -2'
loop_
_atom_site_label
_atom_site_type_symbol
_atom_site_fract_x
_atom_site_fract_y
_atom_site_fract_z
Np1 Np 0.0000 0.0000 0.0000
Pa1 Pa 0.0000 0.5000 0.7500
Si1 Si 0.0000 0.0000 0.5000
Si2 Si 0.0000 0.5000 0.2500
O1 O 0.0000 0.1821 0.6650
O2 O 0.0000 0.3241 0.0772
# DOS(E_F), states/eV per cell: 22.9
# Total DFT energy (no corrections), eV per atom: -9.121
# Formation energy (no corrections), eV/f.u.: -36.505
# V, Å³/cell: 312.3

No. 3
# FeReAg2C | Alexandria via LeMat-Bulk | PBE-GGA | optimized geometry
data_FeReAg2C
_cell_length_a 4.7826
_cell_length_b 4.7826
_cell_length_c 4.3107
_cell_angle_alpha 90.00
_cell_angle_beta 90.00
_cell_angle_gamma 90.00
_space_group_name_H-M_alt 'P 4/m m m'
_space_group_IT_number 123
_space_group_name_Hall '-P 4 2'
loop_
_atom_site_label
_atom_site_type_symbol
_atom_site_fract_x
_atom_site_fract_y
_atom_site_fract_z
Fe1 Fe 0.0000 0.0000 0.0000
Re1 Re 0.0000 0.0000 0.5000
Ag1 Ag 0.0000 0.5000 0.0000
C1 C 0.5000 0.5000 0.5000
# DOS(E_F), states/eV per cell: 4.1
# Total DFT energy (no corrections), eV per atom: -4.560
# V, Å³/cell: 98.6
# Formation energy from the elements, eV/atom: 2.6070